1.
A relaxed Tl3WAu crystal. Source: Alexandria via LeMat-Bulk, functional PBE.

Calculated values
The excess energy over the best structure of this formula in the dataset is 0 meV per atom. The space-group type is Pm-3m, No. 221. The size of the total moment is 0.35 μB/atom. For the formation energy, the calculation gives 5.1 eV per formula unit.

```
Tl3WAu
1.0
5.419 0.000 0.000
0.000 5.419 0.000
0.000 0.000 5.419
Tl W Au
3 1 1
Direct
0.000 0.000 0.500
0.000 0.500 0.000
0.500 0.000 0.000
0.000 0.000 0.000
0.500 0.500 0.500
```

---

2.
A relaxed TlWAu2 crystal. Source: Alexandria via LeMat-Bulk, functional PBE.

Calculated values
The excess energy over the best structure of this formula in the dataset is 174 meV per atom. The space-group type is P2/m, No. 10. The size of the total moment is 0.00 μB/atom. For the formation energy, the calculation gives 2.3 eV per formula unit.

```
TlWAu2
1.0
2.961 0.000 0.000
0.000 4.192 0.000
-0.122 0.000 6.146
Tl W Au
1 1 2
Direct
0.000 0.000 0.000
0.000 0.000 0.500
0.494 0.500 0.277
0.506 0.500 0.723
```

---

What did the second record say?
A relaxed TlWAu2 crystal. Source: Alexandria via LeMat-Bulk, functional PBE.

Calculated values
The excess energy over the best structure of this formula in the dataset is 174 meV per atom. The space-group type is P2/m, No. 10. The size of the total moment is 0.00 μB/atom. For the formation energy, the calculation gives 2.3 eV per formula unit.

```
TlWAu2
1.0
2.961 0.000 0.000
0.000 4.192 0.000
-0.122 0.000 6.146
Tl W Au
1 1 2
Direct
0.000 0.000 0.000
0.000 0.000 0.500
0.494 0.500 0.277
0.506 0.500 0.723
```